# 1
Compound: Li4Mn3NbO8
Source: Alexandria
Functional: PBEsol
Structure: optimized geometry

Lattice parameters (Å, degrees): 10.1812 6.1489 10.3699 90.00 108.08 90.00
Last column: nearest neighbours and their distance in Å.
Space group C2/c (No. 15)
Inequivalent atoms, fractional coordinates:
Li  0.2438  0.0116  0.2426  5 O 2.04-2.19
Li  0.2500  0.2500  0.0000  6 O 2.12-2.16
Li  0.2500  0.2500  0.5000  6 O 2.15-2.28
Mn  0.0000  0.0000  0.0000  4 O 1.93-1.99
Mn  0.0000  0.2479  0.2500  6 O 2.02-2.19
Mn  0.0000  0.5000  0.0000  6 O 2.10-2.20
Nb  0.0000  0.2599  0.7500  6 O 2.01-2.08
O  0.1037  0.2319  0.1123  3 Mn 1.93-2.10, 2 Li 2.12-2.16
O  0.1144  0.0188  0.8756  2 Mn 1.99-2.19, 1 Nb 2.08, 2 Li 2.12-2.19
O  0.1210  0.4899  0.8668  1 Nb 2.01, 3 Li 2.04-2.25, 2 Mn 2.12-2.16
O  0.1290  0.2558  0.6367  1 Nb 2.02, 3 Li 2.07-2.15, 2 Mn 2.20-2.25

ΔE_f (raw) (eV/f.u.): -30.1

# 2
Compound: Li4Mn3NbO8
Source: Alexandria
Functional: PBEsol
Structure: optimized geometry

Lattice parameters (Å, degrees): 6.0769 6.0769 14.4676 90.00 90.00 120.00
Last column: nearest neighbours and their distance in Å.
Space group R-3m (No. 166, hexagonal axes)
Inequivalent atoms, fractional coordinates:
Li  0.0000  0.0000  0.0000  6 O 2.23
Li  0.0000  0.5000  0.0000  6 O 2.11-2.26
Mn  0.0000  0.5000  0.5000  6 O 2.01-2.15
Nb  0.0000  0.0000  0.5000  6 O 2.03
O  0.0000  0.0000  0.2347  3 Mn 2.01
O  0.0184  0.5092  0.2477  1 Nb 2.03, 3 Li 2.11-2.23, 2 Mn 2.15

ΔE_f (raw) (eV/f.u.): -30.1

# 3
Compound: Li4Mn3Nb2Sn3O16
Source: Alexandria
Functional: PBEsol
Structure: optimized geometry

Lattice parameters (Å, degrees): 10.6961 6.1263 9.8334 90.00 90.35 90.00
Last column: nearest neighbours and their distance in Å.
Space group Cm (No. 8)
Inequivalent atoms, fractional coordinates:
Li  0.0000  0.0000  0.0000  2 O 1.81-1.99
Li  0.0079  0.0000  0.5120  1 O 1.81
Li  0.1689  0.5000  0.0912  4 O 1.99-2.08
Li  0.3295  0.0000  0.5956  4 O 1.97-2.06
Mn  0.0807  0.2557  0.7854  6 O 2.00-2.22
Mn  0.1696  0.0000  0.2829  6 O 2.06-2.18
Nb  0.1523  0.5000  0.5141  5 O 1.92-2.08
Nb  0.3227  0.0000  0.9991  3 O 1.88-2.00
Sn  0.3261  0.5000  0.7803  6 O 2.02-2.15
Sn  0.4142  0.2471  0.2818  6 O 2.04-2.13
O  0.0176  0.5000  0.6416  1 Nb 1.92, 1 Li 2.06
O  0.0802  0.2542  0.4029  1 Nb 2.01, 1 Li 2.05, 1 Sn 2.13, 1 Mn 2.18
O  0.1651  0.5000  0.8890  1 Li 1.99, 2 Mn 2.02, 1 Sn 2.03
O  0.1662  0.0000  0.9111  1 Nb 1.88, 1 Li 1.99
O  0.2411  0.2810  0.6435  1 Li 2.02, 1 Nb 2.08, 1 Sn 2.10, 1 Mn 2.22
O  0.2641  0.2227  0.1488  1 Li 2.06, 1 Sn 2.07, 1 Nb 2.11, 1 Mn 2.15
O  0.3368  0.0000  0.3954  1 Li 1.97, 2 Sn 2.06, 1 Mn 2.10
O  0.3387  0.5000  0.4001  2 Sn 2.10, 1 Li 2.11, 1 Nb 2.29
O  0.4081  0.2491  0.9059  1 Nb 2.00, 1 Li 2.04, 1 Sn 2.15, 1 Mn 2.20
O  0.4836  0.0000  0.1550  1 Li 2.08, 2 Sn 2.10, 1 Nb 2.30
O  0.4973  0.5000  0.6958  1 Li 1.81, 2 Mn 2.00, 1 Sn 2.02
O  0.4994  0.5000  0.1838  1 Li 1.81

ΔE_f (raw) (eV/f.u.): -52.9

# 4
Compound: Li4Ti3Mn2Nb3O16
Source: Alexandria
Functional: PBEsol
Structure: optimized geometry

Lattice parameters (Å, degrees): 10.4077 5.9270 9.8982 90.00 90.91 90.00
Last column: nearest neighbours and their distance in Å.
Space group Cm (No. 8)
Inequivalent atoms, fractional coordinates:
Li  0.0000  0.0000  0.0000  4 O 1.79-1.96
Li  0.0052  0.0000  0.5011  4 O 1.78-1.95
Li  0.1803  0.5000  0.3947  4 O 1.96-2.04
Li  0.3493  0.0000  0.9021  4 O 1.95-2.05
Ti  0.3512  0.5000  0.7254  6 O 1.92-2.04
Ti  0.4259  0.2468  0.2201  6 O 1.95-2.02
Mn  0.1763  0.5000  0.0048  4 O 2.08-2.10
Mn  0.3407  0.0000  0.4988  5 O 2.05-2.22
Nb  0.0988  0.2713  0.7144  6 O 2.00-2.12
Nb  0.1784  0.0000  0.2184  6 O 2.01-2.06
O  0.0075  0.0000  0.3211  1 Li 1.78, 2 Ti 1.99
O  0.0133  0.0000  0.8200  1 Li 1.79, 1 Ti 1.92
O  0.0309  0.5000  0.8553  1 Li 1.95, 2 Nb 2.08, 1 Mn 2.10
O  0.0851  0.2378  0.1066  1 Li 1.96, 1 Ti 2.02, 1 Nb 2.03, 1 Mn 2.09
O  0.1694  0.0000  0.5979  1 Li 1.95, 1 Mn 2.05, 2 Nb 2.12
O  0.2009  0.5000  0.5979  1 Ti 1.99, 1 Li 2.02, 2 Nb 2.08
O  0.2601  0.2761  0.8317  1 Ti 1.95, 1 Li 2.00, 1 Nb 2.03
O  0.2713  0.2281  0.3351  1 Li 1.96, 1 Ti 1.99, 1 Nb 2.01
O  0.3442  0.0000  0.1086  2 Ti 2.01, 1 Li 2.05, 1 Nb 2.05
O  0.3506  0.5000  0.1114  1 Li 1.92, 2 Ti 2.00, 1 Mn 2.08
O  0.4341  0.2587  0.6085  1 Li 1.94, 1 Nb 2.00, 1 Ti 2.04, 1 Mn 2.11
O  0.4924  0.0000  0.3313  2 Ti 1.95, 1 Li 2.04

ΔE_f (raw) (eV/f.u.): -67.2

# 5
Compound: Li4MnNbW2O12
Source: Alexandria
Functional: PBEsol
Structure: optimized geometry

Lattice parameters (Å, degrees): 5.0620 5.3616 7.4909 94.61 90.46 90.05
Last column: nearest neighbours and their distance in Å.
Space group P1 (No. 1)
Inequivalent atoms, fractional coordinates:
Li  0.0000  0.0000  0.0000  6 O 2.02-2.24
Li  0.0012  0.9901  0.4680  4 O 1.99-2.08
Li  0.4968  0.5227  0.9998  4 O 1.99-2.19
Li  0.5031  0.5373  0.4568  3 O 1.95-1.98
Mn  0.0008  0.5847  0.1940  6 O 1.91-2.12
Nb  0.5025  0.0685  0.7095  6 O 1.89-2.12
W  0.5068  0.0900  0.2064  6 O 1.86-2.05
W  0.9952  0.5664  0.6933  6 O 1.85-2.06
O  0.1270  0.6048  0.9265  1 W 1.86, 1 Li 2.01
O  0.1805  0.2795  0.6218  1 W 1.85, 1 Li 2.06
O  0.1991  0.9004  0.2443  1 W 1.90, 1 Mn 1.98, 1 Li 1.99
O  0.3110  0.7771  0.6226  1 Nb 1.90, 1 Li 1.98, 1 W 2.05
O  0.3121  0.3994  0.2415  1 Mn 1.91, 1 W 1.93, 1 Li 1.97
O  0.3748  0.0966  0.9468  1 Nb 1.89, 1 Li 2.02, 1 W 2.05
O  0.6234  0.1097  0.4434  1 W 1.86, 1 Li 2.03
O  0.6791  0.4193  0.7546  1 W 1.86, 1 Nb 2.08
O  0.7004  0.7964  0.1331  1 W 1.90, 1 Mn 1.97, 1 Li 1.99
O  0.7989  0.2894  0.1315  1 Mn 1.91, 1 W 1.94, 1 Li 2.05
O  0.8308  0.9143  0.7536  1 Nb 1.90, 1 Li 2.05, 1 W 2.06
O  0.8792  0.6188  0.4565  1 W 1.91, 2 Li 1.95-2.08, 1 Mn 2.06

ΔE_f (raw) (eV/f.u.): -43.7

# 6
Compound: LiMnNi4
Source: Alexandria
Functional: PBEsol
Structure: optimized geometry

Lattice parameters (Å, degrees): 6.5372 6.5372 6.5372 90.00 90.00 90.00
Last column: nearest neighbours and their distance in Å.
Space group F-43m (No. 216)
Inequivalent atoms, fractional coordinates:
Li  0.0000  0.0000  0.0000  12 Ni 2.71, 4 Mn 2.83
Mn  0.2500  0.2500  0.2500  12 Ni 2.71, 4 Li 2.83
Ni  0.1250  0.1250  0.6250  6 Ni 2.31

ΔE_f (kJ/mol of atoms): 4.0

# 7
Compound: LiMnNi
Source: Alexandria
Functional: PBEsol
Structure: optimized geometry

Lattice parameters (Å, degrees): 2.4046 2.4046 11.6111 90.00 90.00 90.00
Last column: nearest neighbours and their distance in Å.
Space group I4mm (No. 107)
Inequivalent atoms, fractional coordinates:
Li  0.0000  0.0000  0.0000  4 Li 2.40, 4 Ni 2.60
Mn  0.0000  0.0000  0.6867  4 Ni 2.38, 4 Mn 2.40
Ni  0.0000  0.0000  0.3306  4 Mn 2.38, 4 Ni 2.40, 4 Li 2.60

ΔE_f (kJ/mol of atoms): 24.8

# 8
Compound: Li2MnNi
Source: Alexandria
Functional: PBEsol
Structure: optimized geometry

Lattice parameters (Å, degrees): 2.4687 2.4687 8.0578 90.00 90.00 90.00
Last column: nearest neighbours and their distance in Å.
Space group P4mm (No. 99)
Inequivalent atoms, fractional coordinates:
Li  0.0000  0.0000  0.0000  4 Li 2.47, 4 Ni 2.55
Li  0.5000  0.5000  0.3173  4 Li 2.47, 4 Mn 2.69
Mn  0.0000  0.0000  0.5705  4 Ni 2.37, 4 Mn 2.47
Ni  0.5000  0.5000  0.7687  4 Mn 2.37, 4 Ni 2.47, 4 Li 2.55

ΔE_f (kJ/mol of atoms): 19.8

no.,total DFT energy (no corrections) (eV per atom)
1,-7.51
2,-7.51
3,-7.45
4,-8.43
5,-8.14
6,-6.02
7,-5.70
8,-4.76